No. 1
{
  "formula": "CaPS2N",
  "functional": "PBE-GGA",
  "state": "relaxed",
  "lattice": [[-0.297, -4.866, -2.235], [2.896, -2.029, 4.032], [-4.808, -1.050, 2.925]],
  "species": ["P", "Ca", "S", "S", "N"],
  "fractional_positions": [[0.000, 0.000, 0.500], [0.000, 0.000, 0.000], [0.000, 0.500, 0.000], [0.500, 0.000, 0.000], [0.500, 0.500, 0.500]],
  "dft_energy_ha_per_atom": -0.1204,
  "magmom_total_mub_per_fu": 3.2,
  "raw_formation_energy_ev_per_atom": 1.5214,
  "de_polymorph_mev_per_atom": 1849,
  "rho_g_cm3": 1.5
}

***

No. 2
{
  "formula": "CaPS2N",
  "functional": "PBE-GGA",
  "state": "relaxed",
  "lattice": [[-1.840, -0.740, -4.890], [-2.818, -4.131, 1.686], [-3.378, 2.659, 0.869]],
  "species": ["P", "Ca", "S", "S", "N"],
  "fractional_positions": [[0.500, 0.500, 0.500], [0.000, 0.000, 0.000], [0.000, 0.500, 0.000], [0.500, 0.000, 0.000], [0.000, 0.000, 0.500]],
  "dft_energy_ha_per_atom": -0.1319,
  "magmom_total_mub_per_fu": 2.5,
  "raw_formation_energy_ev_per_atom": 1.2082,
  "de_polymorph_mev_per_atom": 1536,
  "rho_g_cm3": 2.0
}

***

No. 3
{
  "formula": "CaSbP2N6",
  "functional": "PBE-GGA",
  "state": "relaxed",
  "lattice": [[5.461, -0.054, -0.056], [1.685, 6.795, 0.064], [1.685, -0.188, 6.792]],
  "species": ["Ca", "Ca", "Sb", "Sb", "P", "P", "P", "P", "N", "N", "N", "N", "N", "N", "N", "N", "N", "N", "N", "N"],
  "fractional_positions": [[0.250, 0.903, 0.097], [0.750, 0.097, 0.903], [0.250, 0.279, 0.721], [0.750, 0.721, 0.279], [0.341, 0.789, 0.629], [0.159, 0.371, 0.211], [0.659, 0.211, 0.371], [0.841, 0.629, 0.789], [0.199, 0.986, 0.757], [0.301, 0.243, 0.014], [0.801, 0.014, 0.243], [0.699, 0.757, 0.986], [0.364, 0.811, 0.393], [0.136, 0.607, 0.189], [0.636, 0.189, 0.607], [0.864, 0.393, 0.811], [0.167, 0.619, 0.709], [0.333, 0.291, 0.381], [0.833, 0.381, 0.291], [0.667, 0.709, 0.619]],
  "dft_energy_ha_per_atom": -0.2516,
  "magmom_total_mub_per_fu": 0.0,
  "raw_formation_energy_ev_per_atom": -0.1577,
  "rho_g_cm3": 4.0
}

***

No. 4
{
  "formula": "Ca4SbPN",
  "functional": "PBE-GGA",
  "state": "relaxed",
  "lattice": [[6.648, 0.000, 0.000], [0.000, 6.667, 0.000], [-3.324, 0.000, 7.763]],
  "species": ["Ca", "Ca", "Ca", "Ca", "Ca", "Ca", "Ca", "Ca", "Sb", "Sb", "P", "P", "N", "N"],
  "fractional_positions": [[0.921, 0.250, 0.841], [0.407, 0.750, 0.814], [0.079, 0.750, 0.159], [0.593, 0.250, 0.186], [0.500, 0.500, 0.500], [0.000, 0.000, 0.500], [0.500, 0.000, 0.500], [0.000, 0.500, 0.500], [0.606, 0.750, 0.213], [0.394, 0.250, 0.787], [0.117, 0.250, 0.233], [0.883, 0.750, 0.767], [0.249, 0.750, 0.499], [0.751, 0.250, 0.501]],
  "dft_energy_ha_per_atom": -0.1713,
  "magmom_total_mub_per_fu": 0.0,
  "raw_formation_energy_ev_per_atom": -0.9652,
  "rho_g_cm3": 3.2
}

***

No. 5
{
  "formula": "CaPSeN2",
  "functional": "PBE-GGA",
  "state": "relaxed",
  "lattice": [[-0.073, -1.010, -3.594], [3.698, 0.473, -0.208], [0.706, -4.920, 1.369]],
  "species": ["P", "Ca", "Se", "N", "N"],
  "fractional_positions": [[0.000, 0.000, 0.000], [0.500, 0.500, 0.500], [0.000, 0.000, 0.500], [0.000, 0.500, 0.000], [0.500, 0.000, 0.000]],
  "dft_energy_ha_per_atom": -0.1915,
  "magmom_total_mub_per_fu": 0.4,
  "raw_formation_energy_ev_per_atom": 0.2982,
  "de_polymorph_mev_per_atom": 0,
  "rho_g_cm3": 4.1
}

***

No. 6
{
  "formula": "CaPSeN2",
  "functional": "PBE-GGA",
  "state": "relaxed",
  "lattice": [[-2.389, -0.942, -3.638], [-3.583, -0.731, 2.542], [-1.505, 5.689, -0.486]],
  "species": ["P", "Ca", "Se", "N", "N"],
  "fractional_positions": [[0.500, 0.500, 0.500], [0.000, 0.000, 0.000], [0.000, 0.000, 0.500], [0.000, 0.500, 0.000], [0.500, 0.000, 0.000]],
  "dft_energy_ha_per_atom": -0.1425,
  "magmom_total_mub_per_fu": 3.2,
  "raw_formation_energy_ev_per_atom": 1.6307,
  "de_polymorph_mev_per_atom": 1332,
  "rho_g_cm3": 2.5
}